Record 1
PaInAsO, relaxed, DFT PBE-GGA; volume = 158 Å³ per cell; final energy = -43.9 eV per cell
1.0
4.274 0.000 0.000
0.000 4.274 0.000
0.000 0.000 8.652
Pa In As O
2 2 2 2
Direct
0.250 0.750 0.000
0.750 0.250 0.000
0.250 0.250 0.398
0.750 0.750 0.602
0.250 0.250 0.768
0.750 0.750 0.232
0.250 0.750 0.500
0.750 0.250 0.500



Record 2
K2AgP, relaxed, DFT PBE-GGA; volume = 230 Å³ per cell; final energy = -23.7 eV per cell
1.0
3.867 -4.946 0.000
3.867 4.946 0.000
0.000 0.000 6.023
K Ag P
4 2 2
Direct
0.030 0.687 0.502
0.313 0.970 0.998
0.687 0.030 0.498
0.970 0.313 0.002
0.499 0.501 0.250
0.501 0.499 0.750
0.247 0.247 0.500
0.753 0.753 0.000



Record 3
PmSiCl, relaxed, DFT PBE-GGA; volume = 156 Å³ per cell; final energy = -32.5 eV per cell
1.0
2.033 1.174 10.867
-2.033 1.174 10.867
0.000 -2.348 10.867
Pm Si Cl
2 2 2
Direct
0.061 0.061 0.061
0.939 0.939 0.939
0.336 0.336 0.336
0.664 0.664 0.664
0.221 0.221 0.221
0.779 0.779 0.779



Record 4
DyPOsO, relaxed, DFT PBE-GGA; volume = 121 Å³ per cell; final energy = -62.7 eV per cell
1.0
4.392 0.000 0.000
0.000 4.297 0.000
0.000 0.000 6.392
Dy P Os O
2 2 2 2
Direct
0.000 0.197 0.000
0.000 0.803 0.500
0.500 0.173 0.697
0.500 0.827 0.197
0.500 0.328 0.349
0.500 0.672 0.849
0.000 0.314 0.345
0.000 0.686 0.845



- What is the final energy in the third record?
  -32.5 eV per cell